The following is a DFT calculation (GGA-PBE) of a relaxed structure of Ta2Ir.

ΔE_f, meV per atom: 184
Crystal system: cubic
Theoretical density, g/cm³: 17.69
DOS at the Fermi energy, states/eV per cell: 2.4

The structure in POSCAR format:
```
Ta2Ir
1.0
0.000 3.733 3.733
3.733 0.000 3.733
3.733 3.733 0.000
Ta Ir
4 2
direct
0.000 0.000 0.000
0.000 0.000 0.500
0.000 0.500 0.000
0.500 0.000 0.000
0.375 0.375 0.375
0.625 0.625 0.625
```

---

The following is a DFT calculation (GGA-PBE) of a relaxed structure of CsY2HfP.

ΔE_f, meV per atom: 457
Crystal system: tetragonal
Theoretical density, g/cm³: 5.00
DOS at the Fermi energy, states/eV per cell: 6.2

The structure in POSCAR format:
```
CsY2HfP
1.0
5.792 0.000 0.000
0.000 5.792 0.000
0.000 0.000 5.153
Cs Y Hf P
1 2 1 1
direct
0.000 0.000 0.000
0.000 0.500 0.500
0.500 0.000 0.500
0.500 0.500 0.500
0.500 0.500 0.000
```

---

The following is a DFT calculation (GGA-PBE) of a relaxed structure of K2TlAg2.

ΔE_f, meV per atom: -26
Energy above the most stable polymorph in this dataset, eV/f.u.: 0.00
Crystal system: monoclinic
Theoretical density, g/cm³: 5.10
DOS at the Fermi energy, states/eV per cell: 3.6

The structure in POSCAR format:
```
K2TlAg2
1.0
5.652 -3.359 0.000
5.652 3.359 0.000
-1.992 0.000 8.553
K Tl Ag
4 2 4
direct
0.011 0.279 0.141
0.279 0.011 0.641
0.721 0.989 0.359
0.989 0.721 0.859
0.376 0.624 0.250
0.624 0.376 0.750
0.220 0.496 0.501
0.496 0.220 0.001
0.504 0.780 0.999
0.780 0.504 0.499
```